Compound: SrMn4P
Source: Alexandria
Functional: GGA-PBE
Structure: optimized geometry

Lattice parameters (Å, degrees): 5.2291 5.2291 5.2291 60.00 60.00 60.00
Atoms (fractional coordinates):
Sr 0.0000 0.0000 0.0000
Mn 0.8737 0.3754 0.3754
Mn 0.3754 0.3754 0.8737
Mn 0.3754 0.8737 0.3754
Mn 0.3754 0.3754 0.3754
P 0.7500 0.7500 0.7500

energy relative to the elements	0.631	eV per atom
DOS(E_F)	7.695	states/eV/cell
space group	F-43m (216)